#1
First-principles (GGA-PBE) data for a relaxed structure of SrCo2Ag2, as listed in Alexandria via LeMat-Bulk.

Total magnetization in Bohr magnetons per cell: 3.06
DOS at the Fermi energy in states/eV/atom: 1.1306

a = 4.323 Å, b = 4.323 Å, c = 6.124 Å
α = 69.33°, β = 69.33°, γ = 90.00°
Positions (direct):
1 Ag 0.250 0.750 0.500
2 Ag 0.750 0.250 0.500
3 Sr 0.000 0.000 0.000
4 Co 0.601 0.601 0.799
5 Co 0.399 0.399 0.201

#2
First-principles (GGA-PBE) data for a relaxed structure of SrCo2Ag2, as listed in Alexandria via LeMat-Bulk.

Total magnetization in Bohr magnetons per cell: 6.21
DOS at the Fermi energy in states/eV/atom: 1.0641

a = 7.823 Å, b = 7.823 Å, c = 3.002 Å
α = 90.00°, β = 90.00°, γ = 90.00°
Positions (direct):
1 Ag 0.184 0.684 0.500
2 Ag 0.316 0.184 0.500
3 Ag 0.816 0.316 0.500
4 Ag 0.684 0.816 0.500
5 Sr 0.500 0.500 0.000
6 Sr 0.000 0.000 0.000
7 Co 0.602 0.102 0.000
8 Co 0.898 0.602 0.000
9 Co 0.398 0.898 0.000
10 Co 0.102 0.398 0.000

#3
First-principles (GGA-PBE) data for a relaxed structure of SrCo2Ag2, as listed in Alexandria via LeMat-Bulk.

Total magnetization in Bohr magnetons per cell: 6.05
DOS at the Fermi energy in states/eV/atom: 1.6429

a = 7.947 Å, b = 7.947 Å, c = 2.892 Å
α = 90.00°, β = 90.00°, γ = 90.00°
Positions (direct):
1 Ag 0.628 0.128 0.000
2 Ag 0.372 0.872 0.000
3 Ag 0.872 0.628 0.000
4 Ag 0.128 0.372 0.000
5 Co 0.334 0.166 0.500
6 Co 0.666 0.834 0.500
7 Co 0.834 0.334 0.500
8 Co 0.166 0.666 0.500
9 Sr 0.000 0.000 0.000
10 Sr 0.500 0.500 0.000

Energy ordering: #1 at the bottom, the next structure 10.1 kJ/mol of atoms above.

#1
First-principles (GGA-PBE) data for a relaxed structure of Ta2CoAg, as listed in Alexandria via LeMat-Bulk.

Total magnetization in Bohr magnetons per cell: 0.00
DOS at the Fermi energy in states/eV/atom: 1.0416

a = 3.883 Å, b = 3.883 Å, c = 9.678 Å
α = 78.43°, β = 78.43°, γ = 90.00°
Positions (direct):
1 Ag 0.750 0.250 0.500
2 Ag 0.000 0.000 0.000
3 Co 0.500 0.500 0.000
4 Co 0.250 0.750 0.500
5 Ta 0.875 0.864 0.750
6 Ta 0.136 0.625 0.250
7 Ta 0.614 0.125 0.250
8 Ta 0.375 0.386 0.750

#2
First-principles (GGA-PBE) data for a relaxed structure of Ta2CoAg, as listed in Alexandria via LeMat-Bulk.

Total magnetization in Bohr magnetons per cell: 0.00
DOS at the Fermi energy in states/eV/atom: 0.5123

a = 3.113 Å, b = 3.113 Å, c = 6.721 Å
α = 90.00°, β = 90.00°, γ = 90.00°
Positions (direct):
1 Ag 0.000 0.000 0.521
2 Co 0.500 0.500 0.778
3 Ta 0.500 0.500 0.243
4 Ta 0.000 0.000 0.957

Energy ordering: #2 at the bottom, the next structure 69.4 kJ/mol of atoms above.

#1
First-principles (GGA-PBE) data for a relaxed structure of Ta2CoAg, as listed in Alexandria via LeMat-Bulk.

Total magnetization in Bohr magnetons per cell: 0.00
DOS at the Fermi energy in states/eV/atom: 0.8901

a = 9.145 Å, b = 9.145 Å, c = 9.145 Å
α = 18.47°, β = 18.47°, γ = 18.47°
Positions (direct):
1 Ag 0.494 0.494 0.494
2 Co 0.744 0.744 0.744
3 Ta 0.010 0.010 0.010
4 Ta 0.252 0.252 0.252

#2
First-principles (GGA-PBE) data for a relaxed structure of Ta2CoAg, as listed in Alexandria via LeMat-Bulk.

Total magnetization in Bohr magnetons per cell: 1.95
DOS at the Fermi energy in states/eV/atom: 0.4405

a = 4.522 Å, b = 4.522 Å, c = 4.522 Å
α = 60.00°, β = 60.00°, γ = 60.00°
Positions (direct):
1 Ta 0.250 0.250 0.250
2 Ta 0.750 0.750 0.750
3 Ag 0.500 0.500 0.500
4 Co 0.000 0.000 0.000

#3
First-principles (GGA-PBE) data for a relaxed structure of Ta2CoAg, as listed in Alexandria via LeMat-Bulk.

Total magnetization in Bohr magnetons per cell: 0.02
DOS at the Fermi energy in states/eV/atom: 0.7954

a = 3.957 Å, b = 3.955 Å, c = 4.054 Å
α = 90.00°, β = 90.00°, γ = 90.00°
Positions (direct):
1 Ta 0.500 0.500 0.000
2 Ta 0.000 0.000 0.000
3 Ag 0.500 0.000 0.500
4 Co 0.000 0.500 0.500

Energy ordering: #3 at the bottom, the next structure 5.4 kJ/mol of atoms above.